1.
A crystal of Tl5Cd3 relaxed with PBEsol. Source: Alexandria via LeMat-Bulk, functional SCAN.

Cell: 6.5756 6.5756 4.7921 Å, 90.00 90.00 97.15°
With the nearest neighbours (Å) after each atom.
Positions (direct):
Tl (0.0000, 0.0000, 0.0000)  8 Tl 3.29-3.33, 4 Cd 3.39
Tl (0.0000, 0.5000, 0.0000)  6 Cd 3.24-3.29, 6 Tl 3.29-3.44
Tl (0.2665, 0.2665, 0.5000)  6 Cd 3.14-3.34, 6 Tl 3.33-3.44
Tl (0.5000, 0.0000, 0.0000)  6 Cd 3.24-3.29, 6 Tl 3.29-3.44
Tl (0.7335, 0.7335, 0.5000)  6 Cd 3.14-3.34, 6 Tl 3.33-3.44
Cd (0.2432, 0.7568, 0.5000)  10 Tl 3.24-3.39, 2 Cd 3.49
Cd (0.5000, 0.5000, 0.0000)  8 Tl 3.14-3.29, 4 Cd 3.49
Cd (0.7568, 0.2432, 0.5000)  10 Tl 3.24-3.39, 2 Cd 3.49

## Properties
Crystal system: orthorhombic
Calculated total energy (Ry/atom): -4.1565
DFT formation energy (kcal/mol of atoms): 1.79

2.
A crystal of TlCd relaxed with PBEsol. Source: Alexandria via LeMat-Bulk, functional SCAN.

Cell: 5.3934 3.3601 5.5036 Å, 90.00 90.00 90.00°
With the nearest neighbours (Å) after each atom.
Positions (direct):
Tl (0.2500, 0.0000, 0.1789)  8 Cd 3.18-3.28, 4 Tl 3.34-3.36
Tl (0.7500, 0.0000, 0.8211)  8 Cd 3.18-3.28, 4 Tl 3.34-3.36
Cd (0.2500, 0.5000, 0.6694)  8 Tl 3.18-3.28, 4 Cd 3.28-3.36
Cd (0.7500, 0.5000, 0.3306)  8 Tl 3.18-3.28, 4 Cd 3.28-3.36

## Properties
Crystal system: orthorhombic
Calculated total energy (Ry/atom): -3.7703
DFT formation energy (kcal/mol of atoms): 2.05

3.
A crystal of Tl4Cd relaxed with PBEsol. Source: Alexandria via LeMat-Bulk, functional SCAN.

Cell: 5.7803 5.7803 5.7803 Å, 100.22 100.22 130.17°
With the nearest neighbours (Å) after each atom.
Positions (direct):
Tl (0.1076, 0.7006, 0.8082)  3 Cd 3.27-3.39, 9 Tl 3.31-3.41
Tl (0.2994, 0.1076, 0.4070)  3 Cd 3.27-3.39, 9 Tl 3.31-3.41
Tl (0.7006, 0.8924, 0.5930)  3 Cd 3.27-3.39, 9 Tl 3.31-3.41
Tl (0.8924, 0.2994, 0.1918)  3 Cd 3.27-3.39, 9 Tl 3.31-3.41
Cd (0.5000, 0.5000, 0.0000)  12 Tl 3.27-3.39

## Properties
Crystal system: tetragonal
Calculated total energy (Ry/atom): -4.6974
DFT formation energy (kcal/mol of atoms): 1.34

4.
A crystal of Tl4Cd relaxed with PBEsol. Source: Alexandria via LeMat-Bulk, functional SCAN.

Cell: 6.4437 6.4437 6.6636 Å, 90.00 90.00 90.00°
With the nearest neighbours (Å) after each atom.
Positions (direct):
Tl (0.1076, 0.2779, 0.3584)  2 Cd 3.05-3.06, 3 Tl 3.18-3.31
Tl (0.2221, 0.3924, 0.8584)  2 Cd 3.05-3.06, 3 Tl 3.18-3.31
Tl (0.2779, 0.8924, 0.6416)  2 Cd 3.05-3.06, 3 Tl 3.18-3.31
Tl (0.3924, 0.7779, 0.1416)  2 Cd 3.05-3.06, 3 Tl 3.18-3.31
Tl (0.6076, 0.2221, 0.1416)  2 Cd 3.05-3.06, 3 Tl 3.18-3.31
Tl (0.7221, 0.1076, 0.6416)  2 Cd 3.05-3.06, 3 Tl 3.18-3.31
Tl (0.7779, 0.6076, 0.8584)  2 Cd 3.05-3.06, 3 Tl 3.18-3.31
Tl (0.8924, 0.7221, 0.3584)  2 Cd 3.05-3.06, 3 Tl 3.18-3.31
Cd (0.0000, 0.0000, 0.0000)  8 Tl 3.05-3.06
Cd (0.5000, 0.5000, 0.5000)  8 Tl 3.05-3.06

## Properties
Crystal system: tetragonal
Calculated total energy (Ry/atom): -4.6983
DFT formation energy (kcal/mol of atoms): 1.05

5.
A crystal of TlCd relaxed with PBEsol. Source: Alexandria via LeMat-Bulk, functional SCAN.

Cell: 3.3115 5.4722 5.5028 Å, 90.00 90.00 90.00°
With the nearest neighbours (Å) after each atom.
Positions (direct):
Tl (0.2500, 0.2500, 0.0873)  6 Cd 3.17-3.30, 6 Tl 3.31-3.34
Tl (0.7500, 0.7500, 0.9127)  6 Cd 3.17-3.30, 6 Tl 3.31-3.34
Cd (0.2500, 0.7500, 0.4210)  6 Tl 3.17-3.30, 6 Cd 3.31
Cd (0.7500, 0.2500, 0.5790)  6 Tl 3.17-3.30, 6 Cd 3.31

## Properties
Crystal system: orthorhombic
Calculated total energy (Ry/atom): -3.7703
DFT formation energy (kcal/mol of atoms): 2.04

6.
A crystal of TlCd8 relaxed with PBEsol. Source: Alexandria via LeMat-Bulk, functional SCAN.

Cell: 6.9922 6.9922 6.9922 Å, 95.79 95.79 142.96°
With the nearest neighbours (Å) after each atom.
Positions (direct):
Tl (0.0000, 0.0000, 0.0000)  12 Cd 3.17-3.18
Cd (0.0000, 0.3383, 0.3383)  11 Cd 3.03-3.16, 1 Tl 3.17
Cd (0.0000, 0.6617, 0.6617)  11 Cd 3.03-3.16, 1 Tl 3.17
Cd (0.3281, 0.3281, 0.6562)  10 Cd 3.04-3.22, 2 Tl 3.18
Cd (0.3281, 0.6719, 0.0000)  10 Cd 3.04-3.22, 2 Tl 3.18
Cd (0.3383, 0.0000, 0.3383)  11 Cd 3.03-3.16, 1 Tl 3.17
Cd (0.6617, 0.0000, 0.6617)  11 Cd 3.03-3.16, 1 Tl 3.17
Cd (0.6719, 0.3281, 0.0000)  10 Cd 3.04-3.22, 2 Tl 3.18
Cd (0.6719, 0.6719, 0.3438)  10 Cd 3.04-3.22, 2 Tl 3.18

## Properties
Crystal system: tetragonal
Calculated total energy (Ry/atom): -2.5746
DFT formation energy (kcal/mol of atoms): 1.06

7.
A crystal of TlCd relaxed with PBEsol. Source: Alexandria via LeMat-Bulk, functional SCAN.

Cell: 6.3023 6.3023 4.7490 Å, 90.00 90.00 147.94°
With the nearest neighbours (Å) after each atom.
Positions (direct):
Tl (0.1659, 0.8341, 0.7500)  7 Cd 3.16-3.37, 2 Tl 3.48
Tl (0.8341, 0.1659, 0.2500)  7 Cd 3.16-3.37, 2 Tl 3.48
Cd (0.4280, 0.5720, 0.7500)  2 Cd 2.95, 5 Tl 3.16-3.18
Cd (0.5720, 0.4280, 0.2500)  2 Cd 2.95, 5 Tl 3.16-3.18

## Properties
Crystal system: orthorhombic
Calculated total energy (Ry/atom): -3.7720
DFT formation energy (kcal/mol of atoms): 1.51

8.
A crystal of Tl7Cd relaxed with PBEsol. Source: Alexandria via LeMat-Bulk, functional SCAN.

Cell: 6.7440 6.7440 6.7440 Å, 60.00 60.00 60.00°
With the nearest neighbours (Å) after each atom.
Positions (direct):
Tl (0.0000, 0.0000, 0.0000)  12 Tl 3.37
Tl (0.0000, 0.0000, 0.5000)  2 Cd 3.37, 10 Tl 3.37
Tl (0.0000, 0.5000, 0.0000)  2 Cd 3.37, 10 Tl 3.37
Tl (0.0000, 0.5000, 0.5000)  2 Cd 3.37, 10 Tl 3.37
Tl (0.5000, 0.0000, 0.0000)  2 Cd 3.37, 10 Tl 3.37
Tl (0.5000, 0.0000, 0.5000)  2 Cd 3.37, 10 Tl 3.37
Tl (0.5000, 0.5000, 0.0000)  2 Cd 3.37, 10 Tl 3.37
Cd (0.5000, 0.5000, 0.5000)  12 Tl 3.37

## Properties
Crystal system: cubic
Calculated total energy (Ry/atom): -4.9292
DFT formation energy (kcal/mol of atoms): 1.17